DFT (PBEsol) results for a relaxed CaZr2ScTe crystal.

Unit cell a=4.930 b=4.930 c=5.396 alpha=90.00 beta=90.00 gamma=90.00
Fractional positions:
1 Sc 0.500 0.500 0.500
2 Ca 0.000 0.000 0.000
3 Te 0.000 0.000 0.500
4 Zr 0.000 0.500 0.000
5 Zr 0.500 0.000 0.000

Formation energy from raw total energies in meV/atom: 1071


DFT (PBEsol) results for a relaxed CaScTl2 crystal.

Unit cell a=3.600 b=5.232 c=5.232 alpha=90.00 beta=90.00 gamma=90.00
Fractional positions:
1 Sc 0.500 0.500 0.500
2 Tl 0.000 0.500 0.000
3 Tl 0.000 0.000 0.500
4 Ca 0.500 0.000 0.000

Energy of formation in eV per atom: -0.377


DFT (PBEsol) results for a relaxed CaSc2Tl crystal.

Unit cell a=4.528 b=4.528 c=5.755 alpha=113.17 beta=113.17 gamma=90.00
Fractional positions:
1 Sc 0.000 0.000 0.000
2 Sc 0.750 0.250 0.500
3 Tl 0.500 0.500 0.000
4 Ca 0.250 0.750 0.500

Energy of formation in eV per atom: -0.083


Calculated DFT total energy in order - -0.3688; -0.2849; -0.3363 Ry per atom
Calculated theoretical density in order - 5.0; 8.3; 5.7 g cm⁻³